[1]
Computed, not measured: an optimized crystal structure of BaRh2Se at the PBEsol level of DFT.

Cell: 4.4525 4.4525 7.8154 Å, 90.00 90.00 90.00°
Last column: nearest neighbours and their distance in Å.
Space group I4/mmm (No. 139)
Inequivalent atoms, fractional coordinates:
Ba1 0.0000 0.0000 0.0000 x2  8 Rh 2.96, 4 Se 3.15
Rh1 0.0000 0.5000 0.2500 x4  4 Ba 2.96, 4 Se 2.96, 4 Rh 3.15
Se1 0.0000 0.0000 0.5000 x2  8 Rh 2.96, 4 Ba 3.15

Computed properties:
Volume ... 19.37 Å³/atom
DFT total energy ... -43.063 eV/cell
Mass density ... 9.0 Mg/m³
Formation energy (no corrections) ... 0.186 eV per atom

***

[2]
Computed, not measured: an optimized crystal structure of In2SbAu at the PBEsol level of DFT.

Cell: 4.3055 5.6849 8.2985 Å, 90.00 90.00 90.00°
Last column: nearest neighbours and their distance in Å.
Space group Amm2 (No. 38)
Inequivalent atoms, fractional coordinates:
In1 0.0000 0.0000 0.0000 x2  2 Au 2.84
In2 0.5000 0.0000 0.3058 x2  2 Au 2.76, 2 Sb 2.94
Sb1 0.5000 0.0000 0.7155 x2  2 Au 2.73, 2 In 2.94
Au1 0.0000 0.0000 0.5139 x2  2 Sb 2.73, 4 In 2.76-2.84

Computed properties:
Volume ... 25.39 Å³/atom
DFT total energy ... -29.515 eV/cell
Mass density ... 9.0 Mg/m³
Energy above the lowest structure with this stoichiometry ... 0 meV per atom
Formation energy (no corrections) ... -0.078 eV per atom

***

[3]
Computed, not measured: an optimized crystal structure of V2Cd5P8O28 at the PBEsol level of DFT.

Cell: 8.7866 9.9609 24.0841 Å, 90.00 90.00 90.00°
Last column: nearest neighbours and their distance in Å.
Space group C222_1 (No. 20)
Inequivalent atoms, fractional coordinates:
V1 0.0816 0.1569 0.3772 x8  3 O 1.88-1.99
Cd1 0.0000 0.2046 0.7500 x4  4 O 2.15-2.23
Cd2 0.0814 0.5000 0.5000 x4  6 O 2.19-2.39
Cd3 0.1901 0.0000 0.5000 x4  6 O 2.26-2.43
Cd4 0.1940 0.3497 0.6344 x8  5 O 2.21-2.32
P1 0.1017 0.2035 0.0080 x8  4 O 1.51-1.60
P2 0.1098 0.1341 0.8851 x8  4 O 1.51-1.63
P3 0.1175 0.4540 0.1256 x8  4 O 1.52-1.60
P4 0.2486 0.0472 0.2684 x8  4 O 1.49-1.64
O1 0.0060 0.2079 0.6500 x8  1 P 1.51
O2 0.0196 0.4845 0.5963 x8  1 P 1.52
O3 0.0409 0.1590 0.4584 x8  1 P 1.56
O4 0.0520 0.1411 0.9494 x8  2 P 1.60-1.63
O5 0.1014 0.0186 0.1263 x8  1 P 1.55
O6 0.1031 0.2990 0.1289 x8  1 P 1.55
O7 0.1128 0.3551 0.0028 x8  1 P 1.52
O8 0.1157 0.4885 0.8125 x8  2 P 1.60-1.64
O9 0.1234 0.1200 0.3023 x8  1 P 1.55
O10 0.1746 0.3582 0.7275 x8  1 P 1.52
O11 0.1975 0.0795 0.7590 x8  1 P 1.49
O12 0.2292 0.0000 0.4002 x8  1 P 1.55
O13 0.2310 0.3061 0.3844 x8  1 P 1.52
O14 0.2483 0.1434 0.0298 x8  1 P 1.51

Computed properties:
Volume ... 12.26 Å³/atom
DFT total energy ... -1221.751 eV/cell
Mass density ... 4.3 Mg/m³
Formation energy (no corrections) ... -2.020 eV per atom

***

formation energy (no corrections) of number 3 (V2Cd5P8O28)? -2.020 eV per atom